Density functional theory data (GGA-PBE) for a relaxed Ce2TaTiN5 crystal.

- Size of the total moment: 0.49 μB per formula unit
- Energy relative to the elements, uncorrected: -1420.5 meV per atom

Cell lengths 3.3233, 13.3284, 10.3687 Å; angles 90.00, 90.00, 90.00 degrees
Closest atoms and distances in Å follow each position.
Space group Cmc2_1 (No. 36)
Inequivalent atoms, fractional coordinates:
Ce  0.0000  0.1095  0.0000 (multiplicity 4)  3 N 2.31-2.45
Ce  0.0000  0.1422  0.5972 (multiplicity 4)  8 N 2.45-2.75
Ta  0.0000  0.2165  0.3151 (multiplicity 4)  6 N 2.04-2.21
Ti  0.0000  0.4769  0.7740 (multiplicity 4)  4 N 1.93-2.08
N  0.0000  0.0548  0.3619 (multiplicity 4)  2 Ti 1.94
N  0.0000  0.2796  0.9554 (multiplicity 4)  2 Ta 2.21, 3 Ce 2.31-2.45
N  0.0000  0.3139  0.6877 (multiplicity 4)  2 Ta 2.16, 1 Ti 2.35
N  0.0000  0.3693  0.3075 (multiplicity 4)  1 Ta 2.04, 1 Ti 2.08
N  0.0000  0.4943  0.0912 (multiplicity 4)  1 Ti 1.93



Density functional theory data (GGA-PBE) for a relaxed CeTmTaN3 crystal.

- Size of the total moment: 0.00 μB per formula unit
- Energy relative to the elements, uncorrected: -1156.6 meV per atom

Cell lengths 7.1951, 3.2964, 8.1317 Å; angles 90.00, 90.22, 90.00 degrees
Closest atoms and distances in Å follow each position.
Space group P2_1/m (No. 11)
Inequivalent atoms, fractional coordinates:
Ce  0.1408  0.2500  0.3337 (multiplicity 2)  4 N 2.38-2.63
Tm  0.3895  0.7500  0.6493 (multiplicity 2)  5 N 2.20-2.37
Ta  0.1403  0.2500  0.9221 (multiplicity 2)  4 N 2.08-2.10
N  0.1486  0.7500  0.0816 (multiplicity 2)  3 Ta 2.08-2.10
N  0.1537  0.2500  0.6656 (multiplicity 2)  1 Ta 2.09
N  0.3751  0.7500  0.3786 (multiplicity 2)  3 Tm 2.20-2.37, 2 Ce 2.38



Density functional theory data (GGA-PBE) for a relaxed Ce3Tm2TaN6 crystal.

- Size of the total moment: 0.00 μB per formula unit
- Energy relative to the elements, uncorrected: -1558.1 meV per atom

Cell lengths 5.8741, 10.1734, 5.9940 Å; angles 90.00, 109.05, 90.00 degrees
Closest atoms and distances in Å follow each position.
Space group C2/m (No. 12)
Inequivalent atoms, fractional coordinates:
Ce  0.0000  0.0000  0.0000 (multiplicity 2)  6 N 2.47-2.59
Ce  0.0000  0.3319  0.0000 (multiplicity 4)  6 N 2.46-2.60
Tm  0.0000  0.1664  0.5000 (multiplicity 4)  6 N 2.38-2.39
Ta  0.0000  0.5000  0.5000 (multiplicity 2)  6 N 2.22-2.24
N  0.2300  0.3441  0.7219 (multiplicity 8)  1 Ta 2.22, 2 Tm 2.38, 2 Ce 2.47
N  0.2369  0.5000  0.2736 (multiplicity 4)  1 Ta 2.24, 2 Tm 2.39, 2 Ce 2.46



Density functional theory data (GGA-PBE) for a relaxed Ce2TmTaN4 crystal.

- Size of the total moment: 0.00 μB per formula unit
- Energy relative to the elements, uncorrected: -1504.9 meV per atom

Cell lengths 5.8123, 3.3386, 5.9799 Å; angles 90.00, 108.68, 90.00 degrees
Closest atoms and distances in Å follow each position.
Space group P2/m (No. 10)
Inequivalent atoms, fractional coordinates:
Ce  0.0000  0.0000  0.0000 (multiplicity 1)  6 N 2.56-2.60
Ce  0.5000  0.5000  0.0000 (multiplicity 1)  6 N 2.45-2.46
Tm  0.0000  0.5000  0.5000 (multiplicity 1)  6 N 2.35-2.36
Ta  0.5000  0.0000  0.5000 (multiplicity 1)  6 N 2.20-2.24
N  0.2614  0.0000  0.7198 (multiplicity 2)  1 Ta 2.20, 2 Tm 2.35, 2 Ce 2.46
N  0.2776  0.5000  0.2859 (multiplicity 2)  2 Ta 2.24, 1 Tm 2.36, 1 Ce 2.45



> The lowest energy relative to the elements, uncorrected belongs to which entry?

Ce3Tm2TaN6